# Na3Pm2InS6 | Alexandria | PBE | relaxed
data_Na3Pm2InS6
_chemical_formula_sum 'Na6 Pm4 In2 S12'
_cell_length_a 6.9517
_cell_length_b 12.0463
_cell_length_c 7.1250
_cell_angle_alpha 90.00
_cell_angle_beta 108.94
_cell_angle_gamma 90.00
_space_group_name_H-M_alt 'C 1 2/m 1'
_space_group_IT_number 12
loop_
_space_group_symop_operation_xyz
'x,y,z'
'-x,-y,-z'
'-x,y,-z'
'x,-y,z'
'x+1/2,y+1/2,z'
'-x+1/2,-y+1/2,-z'
'-x+1/2,y+1/2,-z'
'x+1/2,-y+1/2,z'
loop_
_atom_site_label
_atom_site_type_symbol
_atom_site_fract_x
_atom_site_fract_y
_atom_site_fract_z
Na1 Na 0.0000 0.0000 0.0000
Na2 Na 0.0000 0.3353 0.0000
Pm1 Pm 0.0000 0.1669 0.5000
In1 In 0.0000 0.5000 0.5000
S1 S 0.2372 0.3396 0.7304
S2 S 0.2439 0.5000 0.2728
# **V**: 564.34 Å³/cell
# **DOS(E_F)**: 0.0 states/eV/cell
# **Crystal system**: monoclinic
# **Raw formation energy**: -1.47 eV per atom


# NaPm2InS5 | Alexandria | PBE | relaxed
data_NaPm2InS5
_chemical_formula_sum 'Na4 Pm8 In4 S20'
_cell_length_a 3.9976
_cell_length_b 16.9502
_cell_length_c 11.9054
_cell_angle_alpha 90.00
_cell_angle_beta 90.00
_cell_angle_gamma 90.00
_space_group_name_H-M_alt 'C m c 21'
_space_group_IT_number 36
loop_
_space_group_symop_operation_xyz
'x,y,z'
'-x,-y,z+1/2'
'-x,y,z'
'x,-y,z+1/2'
'x+1/2,y+1/2,z'
'-x+1/2,-y+1/2,z+1/2'
'-x+1/2,y+1/2,z'
'x+1/2,-y+1/2,z+1/2'
loop_
_atom_site_label
_atom_site_type_symbol
_atom_site_fract_x
_atom_site_fract_y
_atom_site_fract_z
Na1 Na 0.0000 0.2108 0.0000
Pm1 Pm 0.0000 0.1186 0.6738
Pm2 Pm 0.0000 0.1407 0.2941
In1 In 0.0000 0.4504 0.4496
S1 S 0.0000 0.0459 0.0702
S2 S 0.0000 0.2884 0.6671
S3 S 0.0000 0.3209 0.3341
S4 S 0.0000 0.3694 0.9927
S5 S 0.0000 0.4915 0.7615
# **V**: 806.71 Å³/cell
# **DOS(E_F)**: 0.0 states/eV/cell
# **Crystal system**: orthorhombic
# **Raw formation energy**: -1.47 eV per atom


# Na4Pm3InS8 | Alexandria | PBE | relaxed
data_Na4Pm3InS8
_chemical_formula_sum 'Na12 Pm9 In3 S24'
_cell_length_a 8.0729
_cell_length_b 8.0729
_cell_length_c 20.1932
_cell_angle_alpha 90.00
_cell_angle_beta 90.00
_cell_angle_gamma 120.00
_space_group_name_H-M_alt 'R -3 m'
_space_group_IT_number 166
_space_group_name_Hall '-R 3 2"'
loop_
_atom_site_label
_atom_site_type_symbol
_atom_site_fract_x
_atom_site_fract_y
_atom_site_fract_z
Na1 Na 0.0000 0.0000 0.0000
Na2 Na 0.0000 0.5000 0.0000
Pm1 Pm 0.0000 0.5000 0.5000
In1 In 0.0000 0.0000 0.5000
S1 S 0.0000 0.0000 0.2440
S2 S 0.0117 0.5058 0.2432
# **V**: 1139.74 Å³/cell
# **Crystal system**: trigonal
# **Raw formation energy**: -1.55 eV per atom


# NaPmIn4S8 | Alexandria | PBE | relaxed
data_NaPmIn4S8
_chemical_formula_sum 'Na3 Pm3 In12 S24'
_cell_length_a 7.8782
_cell_length_b 7.8782
_cell_length_c 19.6965
_cell_angle_alpha 90.00
_cell_angle_beta 90.00
_cell_angle_gamma 120.00
_space_group_name_H-M_alt 'R 3 m'
_space_group_IT_number 160
_space_group_name_Hall 'R 3 -2"'
loop_
_atom_site_label
_atom_site_type_symbol
_atom_site_fract_x
_atom_site_fract_y
_atom_site_fract_z
Na1 Na 0.0000 0.0000 0.0000
Pm1 Pm 0.0000 0.0000 0.6377
In1 In 0.0000 0.0000 0.2515
In2 In 0.1749 0.3498 0.4604
S1 S 0.0000 0.0000 0.3887
S2 S 0.0000 0.0000 0.8670
S3 S 0.0140 0.5070 0.3893
S4 S 0.1752 0.3505 0.2078
# **V**: 1058.69 Å³/cell
# **DOS(E_F)**: 1.1 states/eV/cell
# **Crystal system**: trigonal
# **Raw formation energy**: -0.85 eV per atom


# NaPmInSb | Alexandria | PBE | relaxed
data_NaPmInSb
_chemical_formula_sum 'Na4 Pm4 In4 Sb4'
_cell_length_a 7.6558
_cell_length_b 7.6558
_cell_length_c 7.6558
_cell_angle_alpha 90.00
_cell_angle_beta 90.00
_cell_angle_gamma 90.00
_space_group_name_H-M_alt 'F -4 3 m'
_space_group_IT_number 216
_space_group_name_Hall 'F -4 2 3'
loop_
_atom_site_label
_atom_site_type_symbol
_atom_site_fract_x
_atom_site_fract_y
_atom_site_fract_z
Na1 Na 0.0000 0.0000 0.0000
Pm1 Pm 0.0000 0.0000 0.5000
In1 In 0.2500 0.2500 0.2500
Sb1 Sb 0.2500 0.2500 0.7500
# **V**: 448.72 Å³/cell
# **DOS(E_F)**: 12.5 states/eV/cell
# **Crystal system**: cubic
# **Raw formation energy**: -0.37 eV per atom


# Na3PmIn2Se6 | Alexandria | PBE | relaxed
data_Na3PmIn2Se6
_chemical_formula_sum 'Na6 Pm2 In4 Se12'
_cell_length_a 7.0978
_cell_length_b 12.3102
_cell_length_c 7.4765
_cell_angle_alpha 90.00
_cell_angle_beta 108.47
_cell_angle_gamma 90.00
_space_group_name_H-M_alt 'C 1 2/m 1'
_space_group_IT_number 12
loop_
_space_group_symop_operation_xyz
'x,y,z'
'-x,-y,-z'
'-x,y,-z'
'x,-y,z'
'x+1/2,y+1/2,z'
'-x+1/2,-y+1/2,-z'
'-x+1/2,y+1/2,-z'
'x+1/2,-y+1/2,z'
loop_
_atom_site_label
_atom_site_type_symbol
_atom_site_fract_x
_atom_site_fract_y
_atom_site_fract_z
Na1 Na 0.0000 0.0000 0.0000
Na2 Na 0.0000 0.3349 0.0000
Pm1 Pm 0.0000 0.5000 0.5000
In1 In 0.0000 0.1671 0.5000
Se1 Se 0.2273 0.0000 0.7278
Se2 Se 0.2494 0.1743 0.2730
# **V**: 619.59 Å³/cell
# **Crystal system**: monoclinic
# **Raw formation energy**: -1.07 eV per atom